No. 1
Material: PrCuS2O8
Method: DFT, PBE
State: optimized geometry

- Raw formation energy: -1.67 eV per atom

abc: 5.1850 5.1850 7.1371
angles: 90.00 90.00 120.00
Space group P-3m1 (No. 164)
Inequivalent atoms, fractional coordinates:
Pr (0.0000, 0.0000, 0.0000)
Cu (0.0000, 0.0000, 0.5000)
S (0.3333, 0.6667, 0.2108)
O (0.1758, 0.3515, 0.2751)
O (0.3333, 0.6667, 0.9993)

No. 2
Material: ErTaSn2
Method: DFT, PBE
State: optimized geometry

- D(E_F): 8.8 states/eV/cell
- ΔE_f: 0.321 eV/atom

abc: 3.1912 3.1912 33.4893
angles: 90.00 90.00 120.00
Space group R-3m (No. 166, hexagonal axes)
Inequivalent atoms, fractional coordinates:
Er (0.0000, 0.0000, 0.0000)
Ta (0.0000, 0.0000, 0.5000)
Sn (0.0000, 0.0000, 0.4148)

No. 3
Material: U3TeSe5
Method: DFT, PBE
State: optimized geometry

- D(E_F): 96.0 states/eV/cell
- Raw formation energy: -0.91 eV per atom

abc: 13.0192 9.3286 10.5188
angles: 90.00 113.80 90.00
Space group C2/m (No. 12)
Inequivalent atoms, fractional coordinates:
U (0.0000, 0.0000, 0.0000)
U (0.0000, 0.0000, 0.5000)
U (0.1453, 0.5000, 0.1799)
U (0.1686, 0.5000, 0.6671)
Te (0.1202, 0.0000, 0.8118)
Se (0.0000, 0.3064, 0.5000)
Se (0.0855, 0.5000, 0.8860)
Se (0.1582, 0.1946, 0.1753)
Se (0.2279, 0.0000, 0.5289)

| no. | total DFT energy (no corrections) (eV/f.u.) |
| --- | --- |
| 1 | -76.88 |
| 2 | -23.14 |
| 3 | -62.60 |